Compound: Al3Tl
Source: Alexandria via LeMat-Bulk
Functional: GGA-PBEsol
Structure: relaxed

Unit cell a=4.206 b=4.206 c=8.806 alpha=90.00 beta=90.00 gamma=90.00
Space group I4/mmm (No. 139)
Asymmetric unit:
1 Al 0.000 0.000 0.000 x2
2 Al 0.000 0.500 0.250 x4
3 Tl 0.000 0.000 0.500 x2

Results
DOS at the Fermi energy, states/eV/cell: 3.89
Energy of formation, eV per atom: 0.255

Compound: BaAlPt
Source: Alexandria via LeMat-Bulk
Functional: GGA-PBEsol
Structure: relaxed

Unit cell a=4.3193 b=4.3193 c=4.9152 alpha=90.00 beta=90.00 gamma=120.00
Space group P-6m2 (No. 187)
Asymmetric unit:
1 Ba 0.0000 0.0000 0.0000 x1
2 Al 0.3333 0.6667 0.5000 x1
3 Pt 0.6667 0.3333 0.5000 x1

Results
DOS at the Fermi energy, states/eV/cell: 2.59
Energy of formation, eV per atom: -0.658

Compound: BaBe3Zn
Source: Alexandria via LeMat-Bulk
Functional: GGA-PBEsol
Structure: relaxed

Unit cell a=4.449 b=4.449 c=4.449 alpha=90.00 beta=90.00 gamma=90.00
Space group Pm-3m (No. 221)
Asymmetric unit:
1 Ba 0.000 0.000 0.000 x1
2 Be 0.000 0.500 0.500 x3
3 Zn 0.500 0.500 0.500 x1

Results
DOS at the Fermi energy, states/eV/cell: 0.97
Energy of formation, eV per atom: 0.534

Compound: Ga2PdRh2
Source: Alexandria via LeMat-Bulk
Functional: GGA-PBEsol
Structure: relaxed

Unit cell a=6.959 b=6.959 c=2.905 alpha=90.00 beta=90.00 gamma=90.00
Space group P4/mbm (No. 127)
Asymmetric unit:
1 Ga 0.148 0.352 0.000 x4
2 Pd 0.000 0.000 0.000 x2
3 Rh 0.150 0.650 0.500 x4

Results
DOS at the Fermi energy, states/eV/cell: 4.80
Energy of formation, eV per atom: -0.526

Compound: Ca2PtPb
Source: Alexandria via LeMat-Bulk
Functional: GGA-PBEsol
Structure: relaxed

Unit cell a=3.427 b=3.427 c=8.269 alpha=90.00 beta=90.00 gamma=90.00
Space group P4/mmm (No. 123)
Asymmetric unit:
1 Ca 0.000 0.000 0.208 x2
2 Pt 0.500 0.500 0.000 x1
3 Pb 0.500 0.500 0.500 x1

Results
DOS at the Fermi energy, states/eV/cell: 1.69
Distance to the lowest polymorph of the same formula, meV per atom: 0.0
Energy of formation, eV per atom: -0.698

Compound: YSb2Ir
Source: Alexandria via LeMat-Bulk
Functional: GGA-PBEsol
Structure: relaxed

Unit cell a=3.685 b=4.097 c=11.781 alpha=90.00 beta=90.00 gamma=90.00
Space group Imm2 (No. 44)
Asymmetric unit:
1 Y 0.000 0.000 0.000 x2
2 Sb 0.000 0.000 0.594 x2
3 Sb 0.000 0.500 0.812 x2
4 Ir 0.000 0.500 0.256 x2

Results
DOS at the Fermi energy, states/eV/cell: 3.50
DFT total energy, eV/atom: -6.896

Compound: SrEuCoO4
Source: Alexandria via LeMat-Bulk
Functional: GGA-PBEsol
Structure: relaxed

Unit cell a=3.729 b=3.729 c=12.131 alpha=90.00 beta=90.00 gamma=90.00
Space group I4mm (No. 107)
Asymmetric unit:
1 Sr 0.000 0.000 0.000 x2
2 Eu 0.000 0.000 0.283 x2
3 Co 0.000 0.000 0.640 x2
4 O 0.000 0.000 0.478 x2
5 O 0.000 0.000 0.802 x2
6 O 0.000 0.500 0.149 x4

Results
DOS at the Fermi energy, states/eV/cell: 19.51
DFT total energy, eV/atom: -8.147

Compound: BeRu2Pb
Source: Alexandria via LeMat-Bulk
Functional: GGA-PBEsol
Structure: relaxed

Unit cell a=8.274 b=2.932 c=5.244 alpha=90.00 beta=98.09 gamma=90.00
Space group Cm (No. 8)
Asymmetric unit:
1 Be 0.000 0.000 0.000 x2
2 Ru 0.227 0.500 0.116 x2
3 Ru 0.465 0.000 0.322 x2
4 Pb 0.221 0.000 0.647 x2

Results
DOS at the Fermi energy, states/eV/cell: 7.25
Distance to the lowest polymorph of the same formula, meV per atom: 108.7
Energy of formation, eV per atom: 0.448

Compound: FeTc2As
Source: Alexandria via LeMat-Bulk
Functional: GGA-PBEsol
Structure: relaxed

Unit cell a=2.749 b=3.824 c=5.225 alpha=90.00 beta=101.45 gamma=90.00
Space group P2/m (No. 10)
Asymmetric unit:
1 Fe 0.000 0.000 0.000 x1
2 Tc 0.388 0.500 0.758 x2
3 As 0.000 0.000 0.500 x1

Results
DOS at the Fermi energy, states/eV/cell: 4.48
Distance to the lowest polymorph of the same formula, meV per atom: 149.7
Energy of formation, eV per atom: 0.150

Compound: CsSrS2N
Source: Alexandria via LeMat-Bulk
Functional: GGA-PBEsol
Structure: relaxed

Unit cell a=5.431 b=5.431 c=4.500 alpha=90.00 beta=90.00 gamma=90.00
Space group P4/mmm (No. 123)
Asymmetric unit:
1 Cs 0.000 0.000 0.000 x1
2 Sr 0.500 0.500 0.500 x1
3 S 0.000 0.500 0.000 x2
4 N 0.000 0.000 0.500 x1

Results
DOS at the Fermi energy, states/eV/cell: 3.59
DFT total energy, eV/atom: -3.401

Compound: Ir2WSe
Source: Alexandria via LeMat-Bulk
Functional: GGA-PBEsol
Structure: relaxed

Unit cell a=2.8412 b=2.8412 c=25.6746 alpha=90.00 beta=90.00 gamma=120.00
Space group R3m (No. 160, hexagonal axes)
Asymmetric unit:
1 Ir 0.0000 0.0000 0.0000 x3
2 Ir 0.0000 0.0000 0.2460 x3
3 W 0.0000 0.0000 0.7489 x3
4 Se 0.0000 0.0000 0.4970 x3

Results
DOS at the Fermi energy, states/eV/cell: 11.19
Distance to the lowest polymorph of the same formula, meV per atom: 0.0

Compound: BeHgPt4
Source: Alexandria via LeMat-Bulk
Functional: GGA-PBEsol
Structure: relaxed

Unit cell a=7.372 b=7.372 c=7.372 alpha=90.00 beta=90.00 gamma=90.00
Space group F-43m (No. 216)
Asymmetric unit:
1 Be 0.000 0.000 0.000 x4
2 Hg 0.250 0.250 0.250 x4
3 Pt 0.125 0.125 0.625 x16

Results
DOS at the Fermi energy, states/eV/cell: 23.79
Energy of formation, eV per atom: 0.279

Compound: RbLiMnS2
Source: Alexandria via LeMat-Bulk
Functional: GGA-PBEsol
Structure: relaxed

Unit cell a=4.042 b=4.042 c=13.342 alpha=90.00 beta=90.00 gamma=90.00
Space group I-4m2 (No. 119)
Asymmetric unit:
1 Rb 0.000 0.000 0.000 x2
2 Li 0.000 0.500 0.250 x2
3 Mn 0.000 0.500 0.750 x2
4 S 0.000 0.000 0.348 x4

Results
DFT total energy, eV/atom: -5.301

Compound: PHRuS2
Source: Alexandria via LeMat-Bulk
Functional: GGA-PBEsol
Structure: relaxed

Unit cell a=4.300 b=4.300 c=3.115 alpha=90.00 beta=90.00 gamma=90.00
Space group P4/mmm (No. 123)
Asymmetric unit:
1 P 0.000 0.000 0.000 x1
2 H 0.000 0.000 0.500 x1
3 Ru 0.500 0.500 0.000 x1
4 S 0.000 0.500 0.500 x2

Results
DOS at the Fermi energy, states/eV/cell: 3.29
Distance to the lowest polymorph of the same formula, meV per atom: 0.0